# 1
# Ag2SbSe2Br | Alexandria via LeMat-Bulk | PBE-GGA | relaxed
data_Ag2SbSe2Br
_symmetry_space_group_name_H-M 'P 1'
_symmetry_Int_Tables_number 1
_cell_length_a 7.084
_cell_length_b 6.524
_cell_length_c 7.139
_cell_angle_alpha 84.14
_cell_angle_beta 90.00
_cell_angle_gamma 90.00
loop_
_symmetry_equiv_pos_as_xyz
'x,y,z'
loop_
_atom_site_label
_atom_site_fract_x
_atom_site_fract_y
_atom_site_fract_z
Sb1 0.750 0.848 0.097
Sb2 0.250 0.152 0.903
Se1 0.489 0.877 0.780
Se2 0.511 0.123 0.220
Se3 0.989 0.123 0.220
Se4 0.011 0.877 0.780
Ag1 0.250 0.545 0.710
Ag2 0.750 0.455 0.290
Ag3 0.250 0.935 0.455
Ag4 0.750 0.065 0.545
Br1 0.750 0.457 0.670
Br2 0.250 0.543 0.330
# SG: P2_1/m (11)
# ΔE_f (raw): -0.13 eV/atom
# crystal system: monoclinic
# VASP energy: -3.2036 eV/atom

---

# 2
# KRb3Hg6 | Alexandria via LeMat-Bulk | PBE-GGA | relaxed
data_KRb3Hg6
_symmetry_space_group_name_H-M 'P 1'
_symmetry_Int_Tables_number 1
_cell_length_a 9.502
_cell_length_b 9.502
_cell_length_c 9.502
_cell_angle_alpha 99.22
_cell_angle_beta 99.22
_cell_angle_gamma 99.22
loop_
_symmetry_equiv_pos_as_xyz
'x,y,z'
loop_
_atom_site_label
_atom_site_fract_x
_atom_site_fract_y
_atom_site_fract_z
Hg1 0.964 0.912 0.616
Hg2 0.464 0.116 0.412
Hg3 0.412 0.464 0.116
Hg4 0.884 0.588 0.536
Hg5 0.588 0.536 0.884
Hg6 0.616 0.964 0.912
Hg7 0.384 0.036 0.088
Hg8 0.912 0.616 0.964
Hg9 0.116 0.412 0.464
Hg10 0.088 0.384 0.036
Hg11 0.036 0.088 0.384
Hg12 0.536 0.884 0.588
K1 0.500 0.500 0.500
K2 0.000 0.000 0.000
Rb1 0.812 0.250 0.688
Rb2 0.750 0.312 0.188
Rb3 0.188 0.750 0.312
Rb4 0.688 0.812 0.250
Rb5 0.312 0.188 0.750
Rb6 0.250 0.688 0.812
# SG: R-3c (167)
# crystal system: trigonal
# VASP energy: -0.7971 eV/atom
# formation enthalpy at 0 K: -0.2160 eV/atom

---

# 3
# BaSrAl2Si2 | Alexandria via LeMat-Bulk | PBE-GGA | relaxed
data_BaSrAl2Si2
_symmetry_space_group_name_H-M 'P 1'
_symmetry_Int_Tables_number 1
_cell_length_a 4.283
_cell_length_b 4.283
_cell_length_c 9.976
_cell_angle_alpha 90.00
_cell_angle_beta 90.00
_cell_angle_gamma 120.00
loop_
_symmetry_equiv_pos_as_xyz
'x,y,z'
loop_
_atom_site_label
_atom_site_fract_x
_atom_site_fract_y
_atom_site_fract_z
Si1 0.333 0.667 0.266
Si2 0.667 0.333 0.734
Ba1 0.000 0.000 0.000
Sr1 0.000 0.000 0.500
Al1 0.333 0.667 0.743
Al2 0.667 0.333 0.257
# SG: P-3m1 (164)
# ΔE_f (raw): -0.39 eV/atom
# crystal system: trigonal
# VASP energy: -4.0482 eV/atom

---

# 4
# Ta2AgCl | Alexandria via LeMat-Bulk | PBE-GGA | relaxed
data_Ta2AgCl
_symmetry_space_group_name_H-M 'P 1'
_symmetry_Int_Tables_number 1
_cell_length_a 4.237
_cell_length_b 2.927
_cell_length_c 5.764
_cell_angle_alpha 82.51
_cell_angle_beta 90.00
_cell_angle_gamma 90.00
loop_
_symmetry_equiv_pos_as_xyz
'x,y,z'
loop_
_atom_site_label
_atom_site_fract_x
_atom_site_fract_y
_atom_site_fract_z
Cl1 0.500 0.750 0.750
Ta1 0.000 0.790 0.998
Ta2 0.000 0.710 0.502
Ag1 0.500 0.250 0.250
# SG: P2/m (10)
# ΔE_f (raw): 0.37 eV/atom
# crystal system: monoclinic
# VASP energy: -6.7335 eV/atom

---

# 5
# Pm2ErI2N2 | Alexandria via LeMat-Bulk | PBE-GGA | relaxed
data_Pm2ErI2N2
_symmetry_space_group_name_H-M 'P 1'
_symmetry_Int_Tables_number 1
_cell_length_a 4.450
_cell_length_b 4.450
_cell_length_c 10.281
_cell_angle_alpha 102.50
_cell_angle_beta 102.50
_cell_angle_gamma 90.00
loop_
_symmetry_equiv_pos_as_xyz
'x,y,z'
loop_
_atom_site_label
_atom_site_fract_x
_atom_site_fract_y
_atom_site_fract_z
Pm1 0.425 0.425 0.850
Pm2 0.575 0.575 0.150
I1 0.838 0.838 0.676
I2 0.162 0.162 0.324
Er1 0.000 0.000 0.000
N1 0.000 0.500 0.000
N2 0.500 0.000 0.000
# SG: I4/mmm (139)
# ΔE_f (raw): -1.26 eV/atom
# crystal system: tetragonal
# VASP energy: -6.0925 eV/atom

---

# 6
# ScIrC3 | Alexandria via LeMat-Bulk | PBE-GGA | relaxed
data_ScIrC3
_symmetry_space_group_name_H-M 'P 1'
_symmetry_Int_Tables_number 1
_cell_length_a 4.059
_cell_length_b 4.059
_cell_length_c 4.059
_cell_angle_alpha 90.00
_cell_angle_beta 90.00
_cell_angle_gamma 90.00
loop_
_symmetry_equiv_pos_as_xyz
'x,y,z'
loop_
_atom_site_label
_atom_site_fract_x
_atom_site_fract_y
_atom_site_fract_z
C1 0.000 0.000 0.500
C2 0.000 0.500 0.000
C3 0.500 0.000 0.000
Ir1 0.500 0.500 0.500
Sc1 0.000 0.000 0.000
# SG: Pm-3m (221)
# crystal system: cubic
# VASP energy: -5.7221 eV/atom
# formation enthalpy at 0 K: 2.8507 eV/atom

---

Number 1: N(E_F) 2.70 states/eV/cell. Number 2: N(E_F) 9.87 states/eV/cell. Number 3: N(E_F) 3.53 states/eV/cell. Number 4: N(E_F) 2.30 states/eV/cell. Number 5: N(E_F) 2.42 states/eV/cell. Number 6: N(E_F) 4.27 states/eV/cell.